Entry 1:
Na3VBAsO7 meta-GGA SCAN PBEsol geometry; E_form (uncorrected) = -2.161 eV/atom; size of the total moment = 0.154 μB/atom; energy = -9.96 eV/atom
1.0
5.296 0.000 0.003
0.000 6.629 0.000
-0.256 0.000 9.064
O Na V B As
14 6 2 2 2
direct
0.681 0.750 0.083 O
0.207 0.550 0.311 O
0.038 0.250 0.127 O
0.877 0.250 0.414 O
0.793 0.450 0.689 O
0.470 0.250 0.173 O
0.530 0.750 0.827 O
0.394 0.250 0.533 O
0.793 0.050 0.689 O
0.962 0.750 0.873 O
0.123 0.750 0.586 O
0.319 0.250 0.917 O
0.207 0.950 0.311 O
0.606 0.750 0.467 O
0.762 0.250 0.926 Na
0.246 0.501 0.757 Na
0.246 0.999 0.757 Na
0.754 0.499 0.243 Na
0.754 0.001 0.243 Na
0.238 0.750 0.074 Na
0.220 0.250 0.327 V
0.780 0.750 0.673 V
0.724 0.750 0.937 B
0.276 0.250 0.063 B
0.714 0.250 0.575 As
0.286 0.750 0.425 As



Entry 2:
BaBTe3 meta-GGA SCAN PBEsol geometry; E_form (uncorrected) = -0.172 eV/atom; density of states at the Fermi level = 3.1 states/eV/f.u.; size of the total moment = 0.000 μB/atom; energy = -31.92 eV/atom
1.0
-4.142 1.609 -2.504
-0.321 -4.508 -2.365
-2.959 -1.763 3.762
Te Ba B
3 1 1
direct
0.500 0.000 0.000 Te
0.000 0.500 0.000 Te
0.000 0.000 0.500 Te
0.500 0.500 0.500 Ba
0.000 0.000 0.000 B



Entry 3:
TaReRh2 meta-GGA SCAN PBEsol geometry; energy above the most stable polymorph in this dataset = 8 meV per atom; density of states at the Fermi level = 2.7 states/eV/f.u.; size of the total moment = 0.000 μB/atom; energy = -51.68 eV/atom; E_form = -371.8 meV/atom
1.0
2.751 0.000 0.000
0.000 4.414 0.000
0.000 0.000 4.792
Rh Re Ta
2 1 1
direct
0.000 0.500 0.703 Rh
0.000 0.000 0.053 Rh
0.500 0.500 0.196 Re
0.500 0.000 0.548 Ta



Entry 4:
Ba3MgTa2O9 meta-GGA SCAN PBEsol geometry; E_form (uncorrected) = -3.282 eV/atom; density of states at the Fermi level = 0.0 states/eV/f.u.; size of the total moment = 0.000 μB/atom; energy = -24.14 eV/atom
1.0
5.771 0.000 0.000
-2.885 4.998 0.000
0.000 0.000 7.092
Ta Mg O Ba
2 1 9 3
direct
0.333 0.667 0.176 Ta
0.667 0.333 0.824 Ta
0.000 0.000 0.500 Mg
0.500 0.000 0.000 O
0.829 0.657 0.675 O
0.171 0.343 0.325 O
0.343 0.171 0.675 O
0.171 0.829 0.325 O
0.000 0.500 0.000 O
0.500 0.500 0.000 O
0.657 0.829 0.325 O
0.829 0.171 0.675 O
0.000 0.000 0.000 Ba
0.667 0.333 0.337 Ba
0.333 0.667 0.663 Ba



Entry 5:
ScBe2Rh2 meta-GGA SCAN PBEsol geometry; density of states at the Fermi level = 1.3 states/eV/f.u.; size of the total moment = 0.000 μB/atom; energy = -18.95 eV/atom; E_form = -852.9 meV/atom
1.0
-0.747 2.151 -1.736
-2.717 -4.265 -4.117
-5.679 0.574 3.154
Be Rh Sc
4 4 2
direct
0.000 0.618 0.118 Be
0.000 0.882 0.618 Be
0.000 0.382 0.882 Be
0.000 0.118 0.382 Be
0.500 0.329 0.171 Rh
0.500 0.829 0.329 Rh
0.500 0.171 0.671 Rh
0.500 0.671 0.829 Rh
0.000 0.000 0.000 Sc
0.000 0.500 0.500 Sc



Entry 6:
Cs2NaInCl6 meta-GGA SCAN PBEsol geometry; E_form (uncorrected) = -1.892 eV/atom; density of states at the Fermi level = 0.0 states/eV/f.u.; size of the total moment = 0.000 μB/atom; energy = -18.00 eV/atom
1.0
7.415 0.000 0.000
3.707 6.421 0.000
3.707 2.140 6.054
Cs In Cl Na
2 1 6 1
direct
0.250 0.250 0.250 Cs
0.750 0.750 0.750 Cs
0.000 0.000 0.000 In
0.240 0.240 0.760 Cl
0.240 0.760 0.760 Cl
0.760 0.240 0.760 Cl
0.760 0.240 0.240 Cl
0.760 0.760 0.240 Cl
0.240 0.760 0.240 Cl
0.500 0.500 0.500 Na



Entry 7:
Sr3CdTe meta-GGA SCAN PBEsol geometry; E_form (uncorrected) = -0.392 eV/atom; density of states at the Fermi level = 3.5 states/eV/f.u.; size of the total moment = 0.000 μB/atom; energy = -27.29 eV/atom
1.0
6.034 0.000 0.000
0.000 6.034 0.000
0.000 0.000 6.034
Sr Te Cd
3 1 1
direct
0.000 0.000 0.500 Sr
0.000 0.500 0.000 Sr
0.500 0.000 0.000 Sr
0.500 0.500 0.500 Te
0.000 0.000 0.000 Cd



Entry 8:
La2MnCd meta-GGA SCAN PBEsol geometry; density of states at the Fermi level = 3.4 states/eV/f.u.; size of the total moment = 0.947 μB/atom; energy = -33.60 eV/atom; E_form = 122.4 meV/atom
1.0
3.428 0.000 0.000
1.714 2.969 0.000
1.714 0.990 10.139
Mn La Cd
1 2 1
direct
0.506 0.506 0.482 Mn
0.994 0.994 0.019 La
0.763 0.763 0.711 La
0.237 0.237 0.288 Cd



Entry 9:
Li5GaGe2O8 meta-GGA SCAN PBEsol geometry; E_form (uncorrected) = -2.146 eV/atom; density of states at the Fermi level = 0.0 states/eV/f.u.; size of the total moment = 0.000 μB/atom; energy = -9.42 eV/atom
1.0
-0.532 3.541 -3.589
-3.206 -4.174 -3.601
-9.187 3.176 4.496
O Li Ge Ga
16 10 4 2
direct
0.957 0.284 0.330 O
0.043 0.716 0.830 O
0.419 0.500 0.413 O
0.565 0.769 0.663 O
0.088 0.975 0.593 O
0.038 0.501 0.070 O
0.454 0.778 0.165 O
0.581 0.500 0.913 O
0.047 0.265 0.837 O
0.454 0.998 0.930 O
0.435 0.231 0.163 O
0.546 0.222 0.665 O
0.912 0.025 0.093 O
0.953 0.735 0.337 O
0.546 0.002 0.430 O
0.962 0.499 0.570 O
0.932 0.237 0.670 Li
0.558 0.256 0.339 Li
0.442 0.744 0.839 Li
0.065 0.001 0.917 Li
0.935 0.999 0.417 Li
0.068 0.763 0.170 Li
0.566 0.747 0.334 Li
0.542 0.480 0.578 Li
0.458 0.520 0.078 Li
0.434 0.253 0.834 Li
0.445 0.002 0.584 Ge
0.079 0.517 0.411 Ge
0.921 0.483 0.911 Ge
0.555 0.998 0.084 Ge
0.067 0.258 0.165 Ga
0.933 0.742 0.665 Ga



Entry 10:
MnCCl3 meta-GGA SCAN PBEsol geometry; E_form (uncorrected) = 0.663 eV/atom; density of states at the Fermi level = 1.4 states/eV/f.u.; size of the total moment = 1.103 μB/atom; energy = -9.79 eV/atom
1.0
-1.789 0.944 3.865
-3.570 -2.253 -1.102
1.758 -3.615 1.697
Cl C Mn
3 1 1
direct
0.000 0.000 0.500 Cl
0.500 0.000 0.000 Cl
0.000 0.500 0.000 Cl
0.000 0.000 0.000 C
0.500 0.500 0.500 Mn



Entry 11:
BPtSe2O meta-GGA SCAN PBEsol geometry; E_form (uncorrected) = 1.036 eV/atom; density of states at the Fermi level = 2.6 states/eV/f.u.; size of the total moment = 0.422 μB/atom; energy = -23.77 eV/atom
1.0
4.093 0.000 0.000
0.000 4.354 0.000
0.000 0.000 4.354
B Se O Pt
1 2 1 1
direct
0.000 0.000 0.000 B
0.000 0.500 0.000 Se
0.000 0.000 0.500 Se
0.500 0.500 0.500 O
0.500 0.000 0.000 Pt



Entry 12:
Ca3ZrMo meta-GGA SCAN PBEsol geometry; density of states at the Fermi level = 5.4 states/eV/f.u.; size of the total moment = 0.141 μB/atom; energy = -17.67 eV/atom; E_form = 1247.0 meV/atom
1.0
5.283 0.000 0.000
0.000 5.283 0.000
0.000 0.000 5.283
Ca Mo Zr
3 1 1
direct
0.500 0.000 0.000 Ca
0.000 0.500 0.000 Ca
0.000 0.000 0.500 Ca
0.000 0.000 0.000 Mo
0.500 0.500 0.500 Zr